Record 1
5
Lattice="-1.860 2.611 3.800 -4.123 -2.778 -0.109 2.230 -3.446 3.459" Properties=species:S:1:pos:R:3 comment="InTcPCl2 PBE relaxed" formation_energy_uncorrected_mev_per_atom=727 crystal_system=tetragonal relative_energy_mev_per_atom=794 pbc="T T T"
Tc -1.876 -1.806 3.575
Cl -0.930 1.306 1.900
Cl -2.061 -1.389 -0.054
In 0.000 0.000 0.000
P 1.115 -1.723 1.730

Record 2
5
Lattice="5.824 0.000 0.000 0.000 5.824 0.000 0.000 0.000 5.824" Properties=species:S:1:pos:R:3 comment="ZnSb3I PBE relaxed" formation_energy_uncorrected_mev_per_atom=1193 crystal_system=cubic relative_energy_mev_per_atom=658 pbc="T T T"
Sb 0.000 0.000 2.912
Sb 2.912 0.000 0.000
Sb 0.000 2.912 0.000
I 0.000 0.000 0.000
Zn 2.912 2.912 2.912

Record 3
4
Lattice="4.019 -3.482 0.796 -0.537 -3.742 3.823 -2.857 1.906 -4.137" Properties=species:S:1:pos:R:3 comment="LaPRu2 PBE relaxed" ef_ev_per_fu=0.103 crystal_system=tetragonal pbc="T T T"
Ru 0.000 0.000 0.000
Ru -0.827 -2.724 0.998
La 1.741 -3.612 2.310
P 1.451 -2.594 -0.515

Record 4
5
Lattice="-3.886 0.029 -1.880 1.450 -2.774 -3.039 -1.216 -3.332 2.461" Properties=species:S:1:pos:R:3 comment="Mn2CrTcRh PBE relaxed" ef_ev_per_fu=7.959 crystal_system=tetragonal pbc="T T T"
Mn -0.608 -1.666 1.231
Mn -1.943 0.014 -0.940
Cr 0.725 -1.387 -1.520
Rh -1.826 -3.039 -1.229
Tc 0.000 0.000 0.000

Record 5
12
Lattice="11.247 0.000 0.000 -5.623 9.740 0.000 0.000 0.000 3.252" Properties=species:S:1:pos:R:3 comment="CaHf PBE relaxed" ef_ev_per_fu=1.236 crystal_system=hexagonal relative_energy_mev_per_atom=233 pbc="T T T"
Hf 4.161 4.467 0.813
Hf 7.412 3.903 0.813
Hf 0.326 8.370 2.439
Hf 1.463 5.273 2.439
Hf 5.298 1.370 0.813
Hf -1.788 5.837 2.439
Ca 2.022 2.334 0.813
Ca -2.591 9.156 2.439
Ca 6.634 6.822 0.813
Ca 3.602 7.406 2.439
Ca -1.010 2.918 2.439
Ca 8.215 0.584 0.813

Record 6
6
Lattice="5.643 0.000 0.000 0.000 3.442 0.000 -2.821 -1.721 8.283" Properties=species:S:1:pos:R:3 comment="LaCdGa PBE relaxed" ef_ev_per_fu=-0.945 crystal_system=orthorhombic pbc="T T T"
La 0.000 1.721 5.577
La 2.821 0.000 2.707
Ga 2.821 0.000 5.823
Ga 0.000 1.721 2.460
Cd 4.223 1.721 0.000
Cd 1.420 1.721 0.000

Record 7
6
Lattice="-2.346 2.346 3.964 2.346 -2.346 3.964 2.346 2.346 -3.964" Properties=species:S:1:pos:R:3 comment="Co2Cl PBE relaxed" formation_energy_uncorrected_mev_per_atom=613 crystal_system=tetragonal relative_energy_mev_per_atom=722 pbc="T T T"
Co 1.469 0.877 3.964
Co 3.223 0.877 0.000
Co 0.877 1.469 0.000
Co -0.877 1.469 3.964
Cl 0.000 0.000 5.945
Cl 0.000 0.000 1.982

Record 8
9
Lattice="-0.278 3.295 2.528 -2.081 -4.887 2.715 8.678 0.100 0.823" Properties=species:S:1:pos:R:3 comment="Na3Ge4Ir2 PBE relaxed" ef_ev_per_fu=-1.556 crystal_system=monoclinic pbc="T T T"
Na 0.000 0.000 0.000
Na 2.571 0.893 2.546
Na 3.748 -2.385 3.520
Ir 5.784 0.523 3.380
Ir 0.535 -2.015 2.686
Ge 5.072 -0.560 1.287
Ge 6.763 -1.829 3.128
Ge -0.444 0.337 2.938
Ge 1.247 -0.932 4.779

Record 9
4
Lattice="-0.755 -2.101 3.369 -0.999 -4.065 -2.759 3.709 1.136 1.540" Properties=species:S:1:pos:R:3 comment="YFe2Co PBE relaxed" ef_ev_per_fu=1.335 crystal_system=orthorhombic pbc="T T T"
Y -0.877 -3.083 0.305
Fe 1.546 -2.604 -1.278
Fe 0.409 -2.427 3.427
Co -0.378 -1.051 1.685

Record 10
7
Lattice="-0.650 -2.448 -2.569 2.327 -2.701 -0.548 -9.649 -13.266 12.546" Properties=species:S:1:pos:R:3 comment="Tb4PmNd2 PBE relaxed" ef_ev_per_fu=0.076 crystal_system=trigonal relative_energy_mev_per_atom=0 pbc="T T T"
Tb -0.895 -3.362 0.897
Tb -7.076 -15.053 8.533
Tb -2.712 -10.115 2.725
Tb -5.260 -8.300 6.705
Nd -6.169 -11.677 7.620
Nd -1.803 -6.737 1.809
Pm 0.000 0.000 0.000

Record 11
8
Lattice="-2.258 -2.885 0.249 0.926 -1.019 -3.404 5.625 -6.609 1.527" Properties=species:S:1:pos:R:3 comment="V2NiIr PBE relaxed" ef_ev_per_fu=1.025 crystal_system=tetragonal pbc="T T T"
Ir 1.350 -5.723 0.099
Ir 0.000 0.000 0.000
V 3.728 -6.431 -0.073
V 0.134 -3.553 0.109
V 3.043 -8.362 -1.581
V 1.680 -2.679 -1.712
Ni -0.666 -1.952 -1.578
Ni 2.942 -4.790 -1.728

Record 12
9
Lattice="-4.474 0.213 -2.478 1.423 -3.963 -2.910 -4.291 -6.801 7.163" Properties=species:S:1:pos:R:3 comment="La2TbHoSe5 PBE relaxed" formation_energy_uncorrected_mev_per_atom=-1429 crystal_system=tetragonal pbc="T T T"
Tb 0.000 0.000 0.000
Se -1.525 -1.875 -2.694
Se -1.055 -1.672 1.761
Se -3.236 -5.129 5.402
Se -4.382 -3.294 2.343
Se -1.434 -5.382 2.126
La -2.826 -3.937 -0.523
La -4.515 -6.615 2.298
Ho -2.145 -3.401 3.581

Calculated D(E_F) in order - 1.3, 5.8, 2.6, 8.0, 14.1, 4.0, 7.7, 3.7, 4.3, 8.1, 8.0, 7.2 states/eV/cell
Calculated raw total energy in order - -3.71, -1.85, -7.20, -7.54, -5.36, -3.27, -4.74, -4.63, -7.29, -4.68, -7.96, -5.48 eV/atom